Record 1
DFT (PBE) results for an optimized crystal structure of TmPuBi2.

Results
energy above the lowest structure with this stoichiometry	98	meV per atom
final energy	-7.10	eV per atom
density	10.55	g/cm3
formation energy from the elements	-1.82	eV per formula unit

Lattice parameters (Å, degrees): 4.4845 4.4845 22.5240 90.00 90.00 120.00
Space group R3m (No. 160, hexagonal axes)
Asymmetric unit:
Tm (0.0000, 0.0000, 0.0000)
Pu (0.0000, 0.0000, 0.1704)
Bi (0.0000, 0.0000, 0.5852)
Bi (0.0000, 0.0000, 0.7518)

Record 2
DFT (PBE) results for an optimized crystal structure of PuUBi2.

Results
energy above the lowest structure with this stoichiometry	0	meV per atom
final energy	-8.48	eV per atom
density	13.18	g/cm3
formation energy from the elements	-0.56	eV per formula unit

Lattice parameters (Å, degrees): 4.150 4.150 6.583 90.00 90.00 90.00
Space group P4/mmm (No. 123)
Asymmetric unit:
Pu (0.000, 0.000, 0.000)
U (0.000, 0.000, 0.500)
Bi (0.500, 0.500, 0.252)

Record 3
DFT (PBE) results for an optimized crystal structure of PuUBi2.

Results
energy above the lowest structure with this stoichiometry	35	meV per atom
final energy	-8.45	eV per atom
density	13.20	g/cm3
formation energy from the elements	-0.42	eV per formula unit

Lattice parameters (Å, degrees): 5.262 5.262 4.091 90.00 90.00 90.00
Space group P4/mmm (No. 123)
Asymmetric unit:
Pu (0.000, 0.000, 0.000)
U (0.500, 0.500, 0.000)
Bi (0.000, 0.500, 0.500)

Record 4
DFT (PBE) results for an optimized crystal structure of PuUBi2.

Results
energy above the lowest structure with this stoichiometry	52	meV per atom
final energy	-8.43	eV per atom
density	11.46	g/cm3
formation energy from the elements	-0.35	eV per formula unit

Lattice parameters (Å, degrees): 4.4686 4.4686 22.6185 90.00 90.00 120.00
Space group R-3m (No. 166, hexagonal axes)
Asymmetric unit:
Pu (0.0000, 0.0000, 0.0000)
U (0.0000, 0.0000, 0.5000)
Bi (0.0000, 0.0000, 0.2489)

Record 5
DFT (PBE) results for an optimized crystal structure of PuUBi2.

Results
energy above the lowest structure with this stoichiometry	39	meV per atom
final energy	-8.45	eV per atom
density	13.23	g/cm3
formation energy from the elements	-0.40	eV per formula unit

Lattice parameters (Å, degrees): 7.674 7.674 7.674 90.00 90.00 90.00
Space group Fm-3m (No. 225)
Asymmetric unit:
Pu (0.000, 0.000, 0.000)
U (0.000, 0.000, 0.500)
Bi (0.250, 0.250, 0.250)

Record 6
DFT (PBE) results for an optimized crystal structure of PuUBi.

Results
final energy	-9.71	eV per atom
density	14.96	g/cm3
formation energy from the elements	0.38	eV per formula unit

Lattice parameters (Å, degrees): 3.850 8.141 9.789 90.00 90.00 90.00
Space group Immm (No. 71)
Asymmetric unit:
Pu (0.000, 0.000, 0.163)
U (0.000, 0.500, 0.178)
Bi (0.000, 0.247, 0.500)

Record 7
DFT (PBE) results for an optimized crystal structure of PuUBi6.

Results
final energy	-6.22	eV per atom
density	12.09	g/cm3
formation energy from the elements	-0.88	eV per formula unit

Lattice parameters (Å, degrees): 4.948 4.948 9.740 90.00 90.00 90.00
Space group P4/mmm (No. 123)
Asymmetric unit:
Pu (0.000, 0.000, 0.000)
U (0.000, 0.000, 0.500)
Bi (0.000, 0.500, 0.252)
Bi (0.500, 0.500, 0.000)
Bi (0.500, 0.500, 0.500)

Record 8
DFT (PBE) results for an optimized crystal structure of PuVBi.

Results
final energy	-8.77	eV per atom
density	10.59	g/cm3
formation energy from the elements	1.02	eV per formula unit

Lattice parameters (Å, degrees): 5.945 8.372 6.349 90.00 90.00 90.00
Space group Cmcm (No. 63)
Asymmetric unit:
Pu (0.000, 0.172, 0.250)
V (0.000, 0.500, 0.000)
Bi (0.000, 0.202, 0.750)

Record 9
DFT (PBE) results for an optimized crystal structure of YPu2Bi3.

Results
final energy	-8.31	eV per atom
density	10.22	g/cm3
formation energy from the elements	-3.06	eV per formula unit

Lattice parameters (Å, degrees): 4.519 6.388 13.556 90.00 90.00 90.00
Space group Immm (No. 71)
Asymmetric unit:
Y (0.000, 0.000, 0.000)
Pu (0.000, 0.000, 0.333)
Bi (0.000, 0.500, 0.000)
Bi (0.000, 0.500, 0.334)

Record 10
DFT (PBE) results for an optimized crystal structure of YPuBi.

Results
final energy	-8.40	eV per atom
density	11.17	g/cm3
formation energy from the elements	-0.51	eV per formula unit

Lattice parameters (Å, degrees): 10.423 3.542 8.943 90.00 102.57 90.00
Space group C2/m (No. 12)
Asymmetric unit:
Y (0.169, 0.000, 0.125)
Pu (0.180, 0.500, 0.457)
Bi (0.079, 0.000, 0.724)

Record 11
DFT (PBE) results for an optimized crystal structure of Y5PuBi6.

Results
final energy	-6.63	eV per atom
density	8.36	g/cm3
formation energy from the elements	-9.57	eV per formula unit

Lattice parameters (Å, degrees): 7.791 13.483 7.789 90.00 109.46 90.00
Space group C2/m (No. 12)
Asymmetric unit:
Y (0.000, 0.000, 0.000)
Y (0.000, 0.167, 0.500)
Y (0.000, 0.334, 0.000)
Pu (0.000, 0.500, 0.500)
Bi (0.249, 0.000, 0.750)
Bi (0.249, 0.167, 0.249)

Record 12
DFT (PBE) results for an optimized crystal structure of Y2PuBi3.

Results
energy above the lowest structure with this stoichiometry	4	meV per atom
final energy	-7.18	eV per atom
density	8.98	g/cm3
formation energy from the elements	-4.21	eV per formula unit

Lattice parameters (Å, degrees): 4.510 6.369 13.498 90.00 90.00 90.00
Space group Immm (No. 71)
Asymmetric unit:
Y (0.000, 0.000, 0.166)
Pu (0.000, 0.000, 0.500)
Bi (0.000, 0.500, 0.168)
Bi (0.000, 0.500, 0.500)